1.
Material: Mo2AsIr
Method: DFT, GGA-PBE
State: relaxed

Computed properties:
V: 62 Å³/cell
DFT formation energy: 266 meV/atom

Cell lengths 4.447, 4.447, 4.447 Å; angles 60.00, 60.00, 60.00 degrees
Fractional coordinates of all 4 atoms:
Mo: 0.000 0.000 0.000
Mo: 0.750 0.750 0.750
Ir: 0.250 0.250 0.250
As: 0.500 0.500 0.500


2.
Material: MoAsIr
Method: DFT, GGA-PBE
State: relaxed

Computed properties:
V: 99 Å³/cell
DFT formation energy: 112 meV/atom

Cell lengths 5.069, 2.873, 7.877 Å; angles 90.00, 120.44, 90.00 degrees
Fractional coordinates of all 6 atoms:
Mo: 0.962 0.000 0.154
Mo: 0.962 0.500 0.654
Ir: 0.290 0.000 0.979
Ir: 0.290 0.500 0.479
As: 0.586 0.000 0.351
As: 0.586 0.500 0.851


3.
Material: MoAsIr2
Method: DFT, GGA-PBE
State: relaxed

Computed properties:
V: 60 Å³/cell
DFT formation energy: 136 meV/atom

Cell lengths 4.709, 4.709, 4.709 Å; angles 129.63, 129.63, 74.01 degrees
Fractional coordinates of all 4 atoms:
Mo: 0.500 0.500 0.000
Ir: 0.000 0.000 0.000
Ir: 0.250 0.750 0.500
As: 0.750 0.250 0.500


4.
Material: Mo2AsIr
Method: DFT, GGA-PBE
State: relaxed

Computed properties:
V: 61 Å³/cell
DFT formation energy: -19 meV/atom

Cell lengths 4.071, 2.813, 5.611 Å; angles 72.65, 90.00, 90.00 degrees
Fractional coordinates of all 4 atoms:
Mo: 0.000 0.072 0.004
Mo: 0.000 0.428 0.496
Ir: 0.500 0.750 0.750
As: 0.500 0.250 0.250


5.
Material: Mo2AsIr
Method: DFT, GGA-PBE
State: relaxed

Computed properties:
V: 62 Å³/cell
DFT formation energy: 74 meV/atom

Cell lengths 4.890, 4.890, 4.543 Å; angles 82.92, 82.92, 35.27 degrees
Fractional coordinates of all 4 atoms:
Mo: 0.991 0.991 0.012
Mo: 0.509 0.509 0.488
Ir: 0.250 0.250 0.250
As: 0.750 0.750 0.750


6.
Material: MoAsIr
Method: DFT, GGA-PBE
State: relaxed

Computed properties:
V: 46 Å³/cell
DFT formation energy: 58 meV/atom

Cell lengths 2.883, 2.883, 6.454 Å; angles 90.00, 90.00, 120.00 degrees
Fractional coordinates of all 3 atoms:
Mo: 0.000 0.000 0.949
Ir: 0.667 0.333 0.276
As: 0.333 0.667 0.613


7.
Material: MoAs4Ir
Method: DFT, GGA-PBE
State: relaxed

Computed properties:
V: 105 Å³/cell
DFT formation energy: 945 meV/atom

Cell lengths 5.293, 5.293, 5.293 Å; angles 60.00, 60.00, 60.00 degrees
Fractional coordinates of all 6 atoms:
Mo: 0.000 0.000 0.000
As: 0.875 0.375 0.375
As: 0.375 0.375 0.875
As: 0.375 0.875 0.375
As: 0.375 0.375 0.375
Ir: 0.750 0.750 0.750


8.
Material: MoAsIr2
Method: DFT, GGA-PBE
State: relaxed

Computed properties:
V: 62 Å³/cell
DFT formation energy: 121 meV/atom

Cell lengths 2.836, 3.678, 5.905 Å; angles 90.00, 90.00, 90.00 degrees
Fractional coordinates of all 4 atoms:
Mo: 0.000 0.000 0.477
Ir: 0.000 0.000 0.985
Ir: 0.500 0.500 0.260
As: 0.500 0.500 0.778


9.
Material: MoAsIr2
Method: DFT, GGA-PBE
State: relaxed

Computed properties:
V: 61 Å³/cell
DFT formation energy: 210 meV/atom

Cell lengths 3.977, 3.914, 3.914 Å; angles 90.00, 90.00, 90.00 degrees
Fractional coordinates of all 4 atoms:
Mo: 0.500 0.500 0.000
Ir: 0.000 0.000 0.000
Ir: 0.000 0.500 0.500
As: 0.500 0.000 0.500


10.
Material: MoAsIr2
Method: DFT, GGA-PBE
State: relaxed

Computed properties:
V: 61 Å³/cell
DFT formation energy: 8 meV/atom

Cell lengths 8.800, 8.800, 8.800 Å; angles 18.63, 18.63, 18.63 degrees
Fractional coordinates of all 4 atoms:
Mo: 0.750 0.750 0.750
Ir: 0.999 0.999 0.999
Ir: 0.501 0.501 0.501
As: 0.250 0.250 0.250


11.
Material: MoAs3Ir
Method: DFT, GGA-PBE
State: relaxed

Computed properties:
V: 110 Å³/cell
DFT formation energy: 1063 meV/atom

Cell lengths 4.785, 4.785, 4.785 Å; angles 90.00, 90.00, 90.00 degrees
Fractional coordinates of all 5 atoms:
Mo: 0.000 0.000 0.000
Ir: 0.500 0.500 0.500
As: 0.000 0.500 0.000
As: 0.000 0.000 0.500
As: 0.500 0.000 0.000


12.
Material: MoAsIr
Method: DFT, GGA-PBE
State: relaxed

Computed properties:
V: 46 Å³/cell
DFT formation energy: 109 meV/atom

Cell lengths 4.707, 4.707, 4.707 Å; angles 144.59, 129.28, 63.37 degrees
Fractional coordinates of all 3 atoms:
Mo: 0.674 0.674 0.000
Ir: 0.327 0.327 0.000
As: 0.000 0.000 0.000


13.
Material: MoAsIr2
Method: DFT, GGA-PBE
State: relaxed

Computed properties:
V: 60 Å³/cell
DFT formation energy: -9 meV/atom

Cell lengths 5.292, 5.292, 5.292 Å; angles 147.78, 130.25, 60.52 degrees
Fractional coordinates of all 4 atoms:
Mo: 0.750 0.250 0.500
Ir: 0.023 0.023 0.000
Ir: 0.477 0.477 0.000
As: 0.250 0.750 0.500


14.
Material: Mo2AsIr
Method: DFT, GGA-PBE
State: relaxed

Computed properties:
V: 61 Å³/cell
DFT formation energy: -48 meV/atom

Cell lengths 4.110, 2.860, 5.401 Å; angles 74.66, 90.00, 90.00 degrees
Fractional coordinates of all 4 atoms:
Mo: 0.000 0.944 0.988
Mo: 0.500 0.299 0.276
Ir: 0.500 0.560 0.756
As: 0.000 0.698 0.480


15.
Material: MoAsIr2
Method: DFT, GGA-PBE
State: relaxed

Computed properties:
V: 61 Å³/cell
DFT formation energy: 71 meV/atom

Cell lengths 8.706, 8.706, 8.706 Å; angles 18.90, 18.90, 18.90 degrees
Fractional coordinates of all 4 atoms:
Mo: 0.501 0.501 0.501
Ir: 0.995 0.995 0.995
Ir: 0.752 0.752 0.752
As: 0.252 0.252 0.252


16.
Material: Mo2AsIr
Method: DFT, GGA-PBE
State: relaxed

Computed properties:
V: 61 Å³/cell
DFT formation energy: 137 meV/atom

Cell lengths 4.939, 4.939, 4.939 Å; angles 134.04, 134.04, 67.03 degrees
Fractional coordinates of all 4 atoms:
Mo: 0.000 0.000 0.000
Mo: 0.250 0.750 0.500
Ir: 0.750 0.250 0.500
As: 0.500 0.500 0.000


17.
Material: MoAsIr2
Method: DFT, GGA-PBE
State: relaxed

Computed properties:
V: 62 Å³/cell
DFT formation energy: 27 meV/atom

Cell lengths 4.933, 4.933, 4.572 Å; angles 87.61, 87.61, 33.94 degrees
Fractional coordinates of all 4 atoms:
Mo: 0.475 0.475 0.512
Ir: 0.025 0.025 0.990
Ir: 0.757 0.757 0.745
As: 0.243 0.243 0.253


18.
Material: MoAsIr
Method: DFT, GGA-PBE
State: relaxed

Computed properties:
V: 139 Å³/cell
DFT formation energy: 33 meV/atom

Cell lengths 2.895, 2.895, 19.194 Å; angles 90.00, 90.00, 120.00 degrees
Fractional coordinates of all 9 atoms:
Mo: 0.000 0.000 0.698
Mo: 0.333 0.667 0.365
Mo: 0.667 0.333 0.032
Ir: 0.000 0.000 0.255
Ir: 0.333 0.667 0.922
Ir: 0.667 0.333 0.589
As: 0.000 0.000 0.476
As: 0.333 0.667 0.142
As: 0.667 0.333 0.809


19.
Material: Mo2AsIr
Method: DFT, GGA-PBE
State: relaxed

Computed properties:
V: 61 Å³/cell
DFT formation energy: 71 meV/atom

Cell lengths 4.977, 4.977, 4.977 Å; angles 134.90, 134.90, 65.69 degrees
Fractional coordinates of all 4 atoms:
Mo: 0.000 0.000 0.000
Mo: 0.500 0.500 0.000
Ir: 0.750 0.250 0.500
As: 0.250 0.750 0.500


20.
Material: Mo2AsIr
Method: DFT, GGA-PBE
State: relaxed

Computed properties:
V: 63 Å³/cell
DFT formation energy: 90 meV/atom

Cell lengths 2.892, 3.946, 5.485 Å; angles 90.00, 90.00, 90.00 degrees
Fractional coordinates of all 4 atoms:
Mo: 0.000 0.000 0.965
Mo: 0.500 0.500 0.281
Ir: 0.500 0.500 0.774
As: 0.000 0.000 0.479


21.
Material: MoAsIr2
Method: DFT, GGA-PBE
State: relaxed

Computed properties:
V: 61 Å³/cell
DFT formation energy: 160 meV/atom

Cell lengths 4.413, 4.413, 4.413 Å; angles 60.00, 60.00, 60.00 degrees
Fractional coordinates of all 4 atoms:
Mo: 0.750 0.750 0.750
Ir: 0.000 0.000 0.000
Ir: 0.250 0.250 0.250
As: 0.500 0.500 0.500


22.
Material: MoAsIr
Method: DFT, GGA-PBE
State: relaxed

Computed properties:
V: 92 Å³/cell
DFT formation energy: 49 meV/atom

Cell lengths 2.823, 4.566, 7.149 Å; angles 90.00, 90.00, 90.00 degrees
Fractional coordinates of all 6 atoms:
Mo: 0.000 0.000 0.336
Mo: 0.000 0.500 0.836
Ir: 0.500 0.000 0.984
Ir: 0.500 0.500 0.484
As: 0.500 0.000 0.648
As: 0.500 0.500 0.148


23.
Material: MoAsIr2
Method: DFT, GGA-PBE
State: relaxed

Computed properties:
V: 60 Å³/cell
DFT formation energy: 14 meV/atom

Cell lengths 2.926, 2.926, 7.041 Å; angles 90.00, 90.00, 90.00 degrees
Fractional coordinates of all 4 atoms:
Mo: 0.000 0.000 0.505
Ir: 0.000 0.000 0.970
Ir: 0.500 0.500 0.268
As: 0.500 0.500 0.757


24.
Material: Mo2AsIr
Method: DFT, GGA-PBE
State: relaxed

Computed properties:
V: 61 Å³/cell
DFT formation energy: -43 meV/atom

Cell lengths 4.913, 4.913, 4.681 Å; angles 74.34, 74.34, 34.57 degrees
Fractional coordinates of all 4 atoms:
Mo: 0.986 0.986 0.064
Mo: 0.767 0.767 0.682
Ir: 0.242 0.242 0.202
As: 0.505 0.505 0.552


25.
Material: MoAsIr2
Method: DFT, GGA-PBE
State: relaxed

Computed properties:
V: 174 Å³/cell
DFT formation energy: 447 meV/atom

Cell lengths 5.636, 5.636, 6.773 Å; angles 65.41, 65.41, 90.00 degrees
Fractional coordinates of all 8 atoms:
Mo: 0.000 0.000 0.000
Mo: 0.750 0.250 0.500
Ir: 0.618 0.125 0.250
Ir: 0.132 0.625 0.250
Ir: 0.375 0.382 0.750
Ir: 0.875 0.868 0.750
As: 0.500 0.500 0.000
As: 0.250 0.750 0.500


26.
Material: MoAsIr
Method: DFT, GGA-PBE
State: relaxed

Computed properties:
V: 96 Å³/cell
DFT formation energy: 12 meV/atom

Cell lengths 6.832, 2.887, 5.009 Å; angles 90.00, 104.20, 90.00 degrees
Fractional coordinates of all 6 atoms:
Mo: 0.942 0.000 0.708
Mo: 0.942 0.500 0.208
Ir: 0.261 0.000 0.149
Ir: 0.261 0.500 0.649
As: 0.635 0.000 0.274
As: 0.635 0.500 0.774


27.
Material: MoAsIr2
Method: DFT, GGA-PBE
State: relaxed

Computed properties:
V: 61 Å³/cell
DFT formation energy: -4 meV/atom

Cell lengths 2.871, 3.907, 5.428 Å; angles 90.00, 90.00, 90.00 degrees
Fractional coordinates of all 4 atoms:
Mo: 0.500 0.500 0.250
Ir: 0.000 0.000 0.006
Ir: 0.000 0.000 0.494
As: 0.500 0.500 0.750


28.
Material: MoAsIr2Ru
Method: DFT, GGA-PBE
State: relaxed

Computed properties:
V: 103 Å³/cell
DFT formation energy: 1724 meV/atom

Cell lengths 4.728, 4.615, 4.728 Å; angles 90.00, 90.00, 90.00 degrees
Fractional coordinates of all 5 atoms:
Ru: 0.000 0.000 0.000
Mo: 0.000 0.500 0.000
Ir: 0.000 0.000 0.500
Ir: 0.500 0.000 0.000
As: 0.500 0.500 0.500


29.
Material: MoAs2IrSe
Method: DFT, GGA-PBE
State: relaxed

Computed properties:
V: 110 Å³/cell
formation energy (no corrections): 1.077 eV/atom

Cell lengths 4.818, 4.818, 4.753 Å; angles 90.00, 90.00, 90.00 degrees
Fractional coordinates of all 5 atoms:
Mo: 0.000 0.000 0.000
Ir: 0.500 0.500 0.500
As: 0.000 0.500 0.000
As: 0.500 0.000 0.000
Se: 0.000 0.000 0.500


30.
Material: MoAs2IrSe
Method: DFT, GGA-PBE
State: relaxed

Computed properties:
V: 115 Å³/cell
formation energy (no corrections): 1.018 eV/atom

Cell lengths 4.688, 4.688, 5.236 Å; angles 90.00, 90.00, 90.00 degrees
Fractional coordinates of all 5 atoms:
Mo: 0.500 0.500 0.500
Ir: 0.000 0.000 0.000
As: 0.000 0.500 0.000
As: 0.500 0.000 0.000
Se: 0.000 0.000 0.500